{"formula": "HfTl2Pd", "functional": "PBE", "state": "relaxed", "lattice_angstrom": [[0.000, 3.481, 3.481], [3.481, 0.000, 3.481], [3.481, 3.481, 0.000]], "species": ["Tl", "Tl", "Pd", "Hf"], "frac_coords": [[0.250, 0.250, 0.250], [0.750, 0.750, 0.750], [0.000, 0.000, 0.000], [0.500, 0.500, 0.500]], "ef_ev_per_fu": 0.346, "m_tot_mub_per_cell": 0.00}